MnAg3F | PBE with a Hubbard U | relaxed

Summary:
Mass density in g cm⁻³: 6.7
ΔE to the lowest computed polymorph in meV per atom: 0.0
N(E_F) in states/eV/cell: 1.585

Geometry as CIF:
```
data_MnAg3F
_cell_length_a 4.6260
_cell_length_b 4.6260
_cell_length_c 4.6260
_cell_angle_alpha 90.00
_cell_angle_beta 90.00
_cell_angle_gamma 90.00
_space_group_name_H-M_alt 'P m -3 m'
_space_group_IT_number 221
_space_group_name_Hall '-P 4 2 3'
loop_
_atom_site_label
_atom_site_type_symbol
_atom_site_fract_x
_atom_site_fract_y
_atom_site_fract_z
Mn1 Mn 0.0000 0.0000 0.0000
Ag1 Ag 0.0000 0.5000 0.5000
F1 F 0.5000 0.5000 0.5000
```